Entry 1:
Density functional theory data (PBEsol) for KBe2Cl after structural relaxation.

Cell and atoms, written as POSCAR:
```
KBe2Cl
1.0
3.0240 0.0000 0.0000
0.0000 4.4766 0.0000
0.0000 0.0000 6.4068
K Be Cl
1 2 1
direct
0.0000 0.0000 0.0000 K
0.0000 0.5000 0.5000 Be
0.5000 0.0000 0.5000 Be
0.5000 0.5000 0.0000 Cl
```

SG   Pmmm, No. 47

***

Entry 2:
Density functional theory data (PBEsol) for K2BeCl after structural relaxation.

Cell and atoms, written as POSCAR:
```
K2BeCl
1.0
3.7221 0.0000 0.0000
0.0000 3.9948 0.0000
0.0000 0.0000 17.7283
K Be Cl
4 2 2
direct
0.0000 0.0000 0.0000 K
0.0000 0.5000 0.2194 K
0.5000 0.0000 0.7194 K
0.5000 0.5000 0.5000 K
0.0000 0.5000 0.8374 Be
0.5000 0.0000 0.3374 Be
0.0000 0.0000 0.5812 Cl
0.5000 0.5000 0.0812 Cl
```

SG   Imm2, No. 44
Relative energy among the computed polymorphs   0.000 eV/atom

***

Entry 3:
Density functional theory data (PBEsol) for K2BeCl after structural relaxation.

Cell and atoms, written as POSCAR:
```
K2BeCl
1.0
8.4823 0.0000 0.0000
0.0000 8.4823 0.0000
0.0000 0.0000 8.4996
K Be Cl
8 4 4
direct
0.2096 0.2500 0.1250 K
0.2500 0.7096 0.3750 K
0.2500 0.7904 0.8750 K
0.2904 0.2500 0.6250 K
0.7096 0.7500 0.6250 K
0.7500 0.2096 0.8750 K
0.7500 0.2904 0.3750 K
0.7904 0.7500 0.1250 K
0.0000 0.0000 0.5000 Be
0.0000 0.5000 0.7500 Be
0.5000 0.0000 0.2500 Be
0.5000 0.5000 0.0000 Be
0.0000 0.0000 0.0000 Cl
0.0000 0.5000 0.2500 Cl
0.5000 0.0000 0.7500 Cl
0.5000 0.5000 0.5000 Cl
```

SG   I-42d, No. 122
Relative energy among the computed polymorphs   0.114 eV/atom

***

Entry 4:
Density functional theory data (PBEsol) for KBe4Cl after structural relaxation.

Cell and atoms, written as POSCAR:
```
KBe4Cl
1.0
0.0000 3.6224 3.6224
3.6224 0.0000 3.6224
3.6224 3.6224 0.0000
K Be Cl
1 4 1
direct
0.0000 0.0000 0.0000 K
0.1000 0.6333 0.6333 Be
0.6333 0.1000 0.6333 Be
0.6333 0.6333 0.1000 Be
0.6333 0.6333 0.6333 Be
0.2500 0.2500 0.2500 Cl
```

SG   F-43m, No. 216

***

Entry 5:
Density functional theory data (PBEsol) for K2BeCl after structural relaxation.

Cell and atoms, written as POSCAR:
```
K2BeCl
1.0
7.9119 0.0000 0.0000
0.0000 7.9119 0.0000
0.0000 0.0000 7.9119
K Be Cl
8 4 4
direct
0.2500 0.2500 0.2500 K
0.2500 0.2500 0.7500 K
0.2500 0.7500 0.2500 K
0.2500 0.7500 0.7500 K
0.7500 0.2500 0.2500 K
0.7500 0.2500 0.7500 K
0.7500 0.7500 0.2500 K
0.7500 0.7500 0.7500 K
0.0000 0.0000 0.0000 Be
0.0000 0.5000 0.5000 Be
0.5000 0.0000 0.5000 Be
0.5000 0.5000 0.0000 Be
0.0000 0.0000 0.5000 Cl
0.0000 0.5000 0.0000 Cl
0.5000 0.0000 0.0000 Cl
0.5000 0.5000 0.5000 Cl
```

SG   Fm-3m, No. 225
Relative energy among the computed polymorphs   0.160 eV/atom

***

Entry 6:
Density functional theory data (PBEsol) for KBeSCl2 after structural relaxation.

Cell and atoms, written as POSCAR:
```
KBeSCl2
1.0
5.6441 0.0000 0.0000
0.0000 5.6441 0.0000
0.0000 0.0000 5.5888
K Be S Cl
1 1 1 2
direct
0.0000 0.0000 0.0000 K
0.5000 0.5000 0.5000 Be
0.0000 0.0000 0.5000 S
0.0000 0.5000 0.0000 Cl
0.5000 0.0000 0.0000 Cl
```

SG   P4/mmm, No. 123

***

Entry 7:
Density functional theory data (PBEsol) for LaBe2Cl after structural relaxation.

Cell and atoms, written as POSCAR:
```
LaBe2Cl
1.0
3.5007 0.0000 0.0000
0.0000 3.5007 0.0000
0.0000 0.0000 5.9969
La Be Cl
1 2 1
direct
0.0000 0.0000 0.0000 La
0.5000 0.5000 0.3142 Be
0.5000 0.5000 0.6858 Be
0.0000 0.0000 0.5000 Cl
```

SG   P4/mmm, No. 123
Relative energy among the computed polymorphs   0.000 eV/atom

***

Entry 8:
Density functional theory data (PBEsol) for LaBe2Cl after structural relaxation.

Cell and atoms, written as POSCAR:
```
LaBe2Cl
1.0
6.7661 0.0000 0.0000
0.0000 6.7661 0.0000
0.0000 0.0000 6.7661
La Be Cl
4 8 4
direct
0.0000 0.0000 0.0000 La
0.0000 0.5000 0.5000 La
0.5000 0.0000 0.5000 La
0.5000 0.5000 0.0000 La
0.2500 0.2500 0.2500 Be
0.2500 0.2500 0.7500 Be
0.2500 0.7500 0.2500 Be
0.2500 0.7500 0.7500 Be
0.7500 0.2500 0.2500 Be
0.7500 0.2500 0.7500 Be
0.7500 0.7500 0.2500 Be
0.7500 0.7500 0.7500 Be
0.0000 0.0000 0.5000 Cl
0.0000 0.5000 0.0000 Cl
0.5000 0.0000 0.0000 Cl
0.5000 0.5000 0.5000 Cl
```

SG   Fm-3m, No. 225
Relative energy among the computed polymorphs   0.214 eV/atom

***

Entry 9:
Density functional theory data (PBEsol) for LaBeCl2 after structural relaxation.

Cell and atoms, written as POSCAR:
```
LaBeCl2
1.0
3.8071 0.0000 0.0000
0.0000 4.9900 0.0000
0.0000 0.0000 8.2390
La Be Cl
2 2 4
direct
0.0000 0.0000 0.0000 La
0.5000 0.5000 0.5000 La
0.0000 0.0000 0.5000 Be
0.5000 0.5000 0.0000 Be
0.0000 0.5000 0.2082 Cl
0.0000 0.5000 0.7918 Cl
0.5000 0.0000 0.2918 Cl
0.5000 0.0000 0.7082 Cl
```

SG   Immm, No. 71
Relative energy among the computed polymorphs   0.000 eV/atom

***

Entry 10:
Density functional theory data (PBEsol) for LaBeCl2 after structural relaxation.

Cell and atoms, written as POSCAR:
```
LaBeCl2
1.0
3.6730 0.0000 0.0000
0.0000 3.6730 0.0000
0.0000 0.0000 6.3509
La Be Cl
1 1 2
direct
0.0000 0.0000 0.0000 La
0.0000 0.0000 0.5000 Be
0.5000 0.5000 0.2346 Cl
0.5000 0.5000 0.7654 Cl
```

SG   P4/mmm, No. 123
Relative energy among the computed polymorphs   0.147 eV/atom

***

Entry 11:
Density functional theory data (PBEsol) for LaBeCl2 after structural relaxation.

Cell and atoms, written as POSCAR:
```
LaBeCl2
1.0
4.0209 0.0000 0.0000
0.0000 5.9263 0.0000
0.0000 0.0000 8.0718
La Be Cl
2 2 4
direct
0.0000 0.0000 0.0000 La
0.5000 0.5000 0.0000 La
0.0000 0.5000 0.7516 Be
0.5000 0.0000 0.7516 Be
0.0000 0.0000 0.6305 Cl
0.0000 0.5000 0.2438 Cl
0.5000 0.0000 0.2438 Cl
0.5000 0.5000 0.6305 Cl
```

SG   Cmm2, No. 35
Relative energy among the computed polymorphs   0.057 eV/atom

***

Entry 12:
Density functional theory data (PBEsol) for LaBeP2Cl after structural relaxation.

Cell and atoms, written as POSCAR:
```
LaBeP2Cl
1.0
4.2605 0.0000 0.0000
0.0000 4.2605 0.0000
0.0000 0.0000 5.0174
La Be P Cl
1 1 2 1
direct
0.0000 0.0000 0.0000 La
0.5000 0.5000 0.5000 Be
0.0000 0.5000 0.5000 P
0.5000 0.0000 0.5000 P
0.5000 0.5000 0.0000 Cl
```

SG   P4/mmm, No. 123

***

Entry 13:
Density functional theory data (PBEsol) for LaY2BeCl after structural relaxation.

Cell and atoms, written as POSCAR:
```
LaY2BeCl
1.0
5.1602 0.0000 0.0000
0.0000 5.1602 0.0000
0.0000 0.0000 5.5316
La Y Be Cl
1 2 1 1
direct
0.0000 0.0000 0.0000 La
0.0000 0.5000 0.5000 Y
0.5000 0.0000 0.5000 Y
0.0000 0.0000 0.5000 Be
0.5000 0.5000 0.0000 Cl
```

SG   P4/mmm, No. 123

***

Entry 14:
Density functional theory data (PBEsol) for Li2BeCl2 after structural relaxation.

Cell and atoms, written as POSCAR:
```
Li2BeCl2
1.0
4.3301 0.0000 0.0000
0.0000 4.3301 0.0000
0.0000 0.0000 11.7978
Li Be Cl
4 2 4
direct
0.0000 0.5000 0.2500 Li
0.0000 0.5000 0.7500 Li
0.5000 0.0000 0.2500 Li
0.5000 0.0000 0.7500 Li
0.0000 0.0000 0.0000 Be
0.5000 0.5000 0.5000 Be
0.0000 0.0000 0.3323 Cl
0.0000 0.0000 0.6677 Cl
0.5000 0.5000 0.1677 Cl
0.5000 0.5000 0.8323 Cl
```

SG   I4/mmm, No. 139

***

Entry 15:
Density functional theory data (PBEsol) for LiBe2Cl after structural relaxation.

Cell and atoms, written as POSCAR:
```
LiBe2Cl
1.0
3.1210 0.0000 0.0000
0.0000 3.1210 0.0000
0.0000 0.0000 6.9648
Li Be Cl
1 2 1
direct
0.0000 0.0000 0.0000 Li
0.0000 0.5000 0.5000 Be
0.5000 0.0000 0.5000 Be
0.5000 0.5000 0.0000 Cl
```

SG   P4/mmm, No. 123
Relative energy among the computed polymorphs   0.000 eV/atom

***

Entry 16:
Density functional theory data (PBEsol) for LiBeCl2 after structural relaxation.

Cell and atoms, written as POSCAR:
```
LiBeCl2
1.0
3.4872 0.0000 0.0000
-1.7436 3.0200 0.0000
0.0000 0.0000 20.3707
Li Be Cl
3 3 6
direct
0.0000 0.0000 0.0000 Li
0.3333 0.6667 0.6667 Li
0.6667 0.3333 0.3333 Li
0.0000 0.0000 0.5000 Be
0.3333 0.6667 0.1667 Be
0.6667 0.3333 0.8333 Be
0.0000 0.0000 0.4025 Cl
0.0000 0.0000 0.5975 Cl
0.3333 0.6667 0.0692 Cl
0.3333 0.6667 0.2641 Cl
0.6667 0.3333 0.7359 Cl
0.6667 0.3333 0.9308 Cl
```

SG   R-3m, No. 166

***

Entry 17:
Density functional theory data (PBEsol) for LiBe2Cl after structural relaxation.

Cell and atoms, written as POSCAR:
```
LiBe2Cl
1.0
6.4238 0.0000 0.0000
0.0000 6.4238 0.0000
0.0000 0.0000 6.4238
Li Be Cl
4 8 4
direct
0.0000 0.0000 0.0000 Li
0.0000 0.5000 0.5000 Li
0.5000 0.0000 0.5000 Li
0.5000 0.5000 0.0000 Li
0.2500 0.2500 0.2500 Be
0.2500 0.2500 0.7500 Be
0.2500 0.7500 0.2500 Be
0.2500 0.7500 0.7500 Be
0.7500 0.2500 0.2500 Be
0.7500 0.2500 0.7500 Be
0.7500 0.7500 0.2500 Be
0.7500 0.7500 0.7500 Be
0.0000 0.0000 0.5000 Cl
0.0000 0.5000 0.0000 Cl
0.5000 0.0000 0.0000 Cl
0.5000 0.5000 0.5000 Cl
```

SG   Fm-3m, No. 225
Relative energy among the computed polymorphs   1.123 eV/atom

***

Entry 18:
Density functional theory data (PBEsol) for NaLiBe2Cl after structural relaxation.

Cell and atoms, written as POSCAR:
```
NaLiBe2Cl
1.0
4.3558 0.0000 0.0000
0.0000 4.3558 0.0000
0.0000 0.0000 4.9980
Na Li Be Cl
1 1 2 1
direct
0.0000 0.0000 0.0000 Na
0.5000 0.5000 0.5000 Li
0.0000 0.5000 0.5000 Be
0.5000 0.0000 0.5000 Be
0.5000 0.5000 0.0000 Cl
```

SG   P4/mmm, No. 123

***

Entry 19:
Density functional theory data (PBEsol) for Li4Be3P3ClO12 after structural relaxation.

Cell and atoms, written as POSCAR:
```
Li4Be3P3ClO12
1.0
8.0141 0.0000 0.0000
0.0000 8.0141 0.0000
0.0000 0.0000 8.0141
Li Be P Cl O
8 6 6 2 24
direct
0.1716 0.1716 0.1716 Li
0.1716 0.8284 0.8284 Li
0.3284 0.3284 0.6716 Li
0.3284 0.6716 0.3284 Li
0.6716 0.3284 0.3284 Li
0.6716 0.6716 0.6716 Li
0.8284 0.1716 0.8284 Li
0.8284 0.8284 0.1716 Li
0.0000 0.2500 0.5000 Be
0.0000 0.7500 0.5000 Be
0.2500 0.5000 0.0000 Be
0.5000 0.0000 0.2500 Be
0.5000 0.0000 0.7500 Be
0.7500 0.5000 0.0000 Be
0.0000 0.5000 0.2500 P
0.0000 0.5000 0.7500 P
0.2500 0.0000 0.5000 P
0.5000 0.2500 0.0000 P
0.5000 0.7500 0.0000 P
0.7500 0.0000 0.5000 P
0.0000 0.0000 0.0000 Cl
0.5000 0.5000 0.5000 Cl
0.0862 0.3649 0.6430 O
0.0862 0.6351 0.3570 O
0.1351 0.4138 0.1430 O
0.1351 0.5862 0.8570 O
0.1430 0.1351 0.4138 O
0.1430 0.8649 0.5862 O
0.3570 0.0862 0.6351 O
0.3570 0.9138 0.3649 O
0.3649 0.3570 0.9138 O
0.3649 0.6430 0.0862 O
0.4138 0.1430 0.1351 O
0.4138 0.8570 0.8649 O
0.5862 0.1430 0.8649 O
0.5862 0.8570 0.1351 O
0.6351 0.3570 0.0862 O
0.6351 0.6430 0.9138 O
0.6430 0.0862 0.3649 O
0.6430 0.9138 0.6351 O
0.8570 0.1351 0.5862 O
0.8570 0.8649 0.4138 O
0.8649 0.4138 0.8570 O
0.8649 0.5862 0.1430 O
0.9138 0.3649 0.3570 O
0.9138 0.6351 0.6430 O
```

SG   P-43n, No. 218

***

Entry 20:
Density functional theory data (PBEsol) for LiBeP2Cl after structural relaxation.

Cell and atoms, written as POSCAR:
```
LiBeP2Cl
1.0
3.9661 0.0000 0.0000
0.0000 3.9661 0.0000
0.0000 0.0000 6.6901
Li Be P Cl
1 1 2 1
direct
0.0000 0.0000 0.0000 Li
0.5000 0.5000 0.5000 Be
0.0000 0.5000 0.5000 P
0.5000 0.0000 0.5000 P
0.5000 0.5000 0.0000 Cl
```

SG   P4/mmm, No. 123

***

Number 1: total DFT energy (no corrections) -0.089 hartree per atom, formation energy (no corrections) 0.368 eV/atom. Number 2: total DFT energy (no corrections) -0.085 hartree per atom, formation energy (no corrections) -0.238 eV/atom. Number 3: total DFT energy (no corrections) -0.081 hartree per atom, formation energy (no corrections) -0.124 eV/atom. Number 4: total DFT energy (no corrections) -0.084 hartree per atom, formation energy (no corrections) 0.897 eV/atom. Number 5: total DFT energy (no corrections) -0.079 hartree per atom, formation energy (no corrections) -0.078 eV/atom. Number 6: total DFT energy (no corrections) -0.073 hartree per atom, formation energy (no corrections) 0.732 eV/atom. Number 7: total DFT energy (no corrections) -0.129 hartree per atom, formation energy (no corrections) 0.335 eV/atom. Number 8: total DFT energy (no corrections) -0.121 hartree per atom, formation energy (no corrections) 0.549 eV/atom. Number 9: total DFT energy (no corrections) -0.157 hartree per atom, formation energy (no corrections) -0.922 eV/atom. Number 10: total DFT energy (no corrections) -0.151 hartree per atom, formation energy (no corrections) -0.775 eV/atom. Number 11: total DFT energy (no corrections) -0.155 hartree per atom, formation energy (no corrections) -0.864 eV/atom. Number 12: total DFT energy (no corrections) -0.196 hartree per atom, formation energy (no corrections) -0.735 eV/atom. Number 13: total DFT energy (no corrections) -0.180 hartree per atom, formation energy (no corrections) 0.091 eV/atom. Number 14: total DFT energy (no corrections) -0.112 hartree per atom, formation energy (no corrections) -0.653 eV/atom. Number 15: total DFT energy (no corrections) -0.113 hartree per atom, formation energy (no corrections) -0.083 eV/atom. Number 16: total DFT energy (no corrections) -0.122 hartree per atom, formation energy (no corrections) -0.831 eV/atom. Number 17: total DFT energy (no corrections) -0.072 hartree per atom, formation energy (no corrections) 1.040 eV/atom. Number 18: total DFT energy (no corrections) -0.080 hartree per atom, formation energy (no corrections) 0.505 eV/atom. Number 19: total DFT energy (no corrections) -0.255 hartree per atom, formation energy (no corrections) -2.494 eV/atom. Number 20: total DFT energy (no corrections) -0.144 hartree per atom, formation energy (no corrections) -0.004 eV/atom.